LaPmHoN3 (PBE, relaxed); E = -95.02 eV for the cell shown; energy relative to the elements, uncorrected = -1.3800 eV per atom
1.0
-1.525 -3.255 -0.258
5.063 -2.564 2.416
-5.028 1.756 7.565
La Pm Ho N
2 2 2 6
Cartesian
-1.362 -2.881 6.640 La
-0.128 -1.182 3.083 La
3.287 -2.708 2.144 Pm
-4.777 -1.355 7.579 Pm
-2.866 -0.060 5.117 Ho
1.376 -4.003 4.606 Ho
1.031 -1.912 5.437 N
-1.768 -2.249 1.067 N
0.707 -3.517 2.439 N
-2.522 -2.151 4.286 N
-2.197 -0.546 7.284 N
0.278 -1.814 8.656 N